The following is a PBE calculation of crystalline SbI2Br8 at its relaxed geometry, from Alexandria via LeMat-Bulk.

```
data_SbI2Br8
_symmetry_space_group_name_H-M 'C 1 2/m 1'
_symmetry_Int_Tables_number 12
_cell_length_a 14.1059
_cell_length_b 7.1088
_cell_length_c 11.0840
_cell_angle_alpha 90.00
_cell_angle_beta 105.78
_cell_angle_gamma 90.00
loop_
_symmetry_equiv_pos_as_xyz
'x,y,z'
'-x,-y,-z'
'-x,y,-z'
'x,-y,z'
'x+1/2,y+1/2,z'
'-x+1/2,-y+1/2,-z'
'-x+1/2,y+1/2,-z'
'x+1/2,-y+1/2,z'
loop_
_atom_site_label
_atom_site_type_symbol
_atom_site_fract_x
_atom_site_fract_y
_atom_site_fract_z
_atom_site_occupancy
Sb1 Sb 0.0000 0.0000 0.0000 1
I1 I 0.1756 0.5000 0.5702 1
Br1 Br 0.0463 0.5000 0.7012 1
Br2 Br 0.1276 0.2615 0.0953 1
Br3 Br 0.1888 0.0000 0.5567 1
```

Properties
E_form (uncorrected): -0.06 eV per atom
density of states at the Fermi level: 15.393 states/eV/cell
crystal system: monoclinic
raw total energy: -42.479 eV/cell

***

The following is a PBE calculation of crystalline NaCa2Cl5 at its relaxed geometry, from Alexandria via LeMat-Bulk.

```
data_NaCa2Cl5
_symmetry_space_group_name_H-M 'C m c m'
_symmetry_Int_Tables_number 63
_symmetry_space_group_name_Hall '-C 2c 2'
_cell_length_a 5.4026
_cell_length_b 13.5779
_cell_length_c 13.5992
_cell_angle_alpha 90.00
_cell_angle_beta 90.00
_cell_angle_gamma 90.00
loop_
_atom_site_label
_atom_site_type_symbol
_atom_site_fract_x
_atom_site_fract_y
_atom_site_fract_z
_atom_site_occupancy
Na1 Na 0.0000 0.2027 0.2500 1
Ca1 Ca 0.0000 0.1391 0.5609 1
Cl1 Cl 0.0000 0.0497 0.1173 1
Cl2 Cl 0.0000 0.2208 0.7500 1
Cl3 Cl 0.0000 0.3132 0.0594 1
```

Properties
E_form (uncorrected): -2.23 eV per atom
density of states at the Fermi level: 0.000 states/eV/cell
crystal system: orthorhombic
raw total energy: -129.718 eV/cell

***

The following is a PBE calculation of crystalline NaMg2Zr2 at its relaxed geometry, from Alexandria via LeMat-Bulk.

```
data_NaMg2Zr2
_symmetry_space_group_name_H-M 'P 4/m b m'
_symmetry_Int_Tables_number 127
_symmetry_space_group_name_Hall '-P 4 2ab'
_cell_length_a 9.2215
_cell_length_b 9.2215
_cell_length_c 3.0058
_cell_angle_alpha 90.00
_cell_angle_beta 90.00
_cell_angle_gamma 90.00
loop_
_atom_site_label
_atom_site_type_symbol
_atom_site_fract_x
_atom_site_fract_y
_atom_site_fract_z
_atom_site_occupancy
Na1 Na 0.0000 0.0000 0.0000 1
Mg1 Mg 0.1776 0.3224 0.5000 1
Zr1 Zr 0.1140 0.6140 0.0000 1
```

Properties
ΔE_f: 0.32 eV per atom
density of states at the Fermi level: 10.402 states/eV/cell
crystal system: tetragonal
raw total energy: -40.031 eV/cell